Record 1
# HfCr2Au, optimized geometry, DFT PBE
data_HfCr2Au
_symmetry_space_group_name_H-M 'F m -3 m'
_symmetry_Int_Tables_number 225
_symmetry_space_group_name_Hall '-F 4 2 3'
_cell_length_a 6.4421
_cell_length_b 6.4421
_cell_length_c 6.4421
_cell_angle_alpha 90.00
_cell_angle_beta 90.00
_cell_angle_gamma 90.00
loop_
_atom_site_label
_atom_site_fract_x
_atom_site_fract_y
_atom_site_fract_z
Hf1 0.0000 0.0000 0.0000
Cr1 0.2500 0.2500 0.2500
Au1 0.0000 0.0000 0.5000
# - Crystal system: cubic
# - Formation energy from the elements: 0.298 eV/atom
# - Total magnetic moment: 25.73 Bohr magnetons per cell
# - D(E_F): 1.4967 states/eV/atom
# - E above lowest polymorph: 0 meV per atom


Record 2
# PmPaOsPd, optimized geometry, DFT PBE
data_PmPaOsPd
_symmetry_space_group_name_H-M 'F -4 3 m'
_symmetry_Int_Tables_number 216
_symmetry_space_group_name_Hall 'F -4 2 3'
_cell_length_a 7.0049
_cell_length_b 7.0049
_cell_length_c 7.0049
_cell_angle_alpha 90.00
_cell_angle_beta 90.00
_cell_angle_gamma 90.00
loop_
_atom_site_label
_atom_site_fract_x
_atom_site_fract_y
_atom_site_fract_z
Pm1 0.0000 0.0000 0.0000
Pa1 0.0000 0.0000 0.5000
Os1 0.2500 0.2500 0.7500
Pd1 0.2500 0.2500 0.2500
# - Crystal system: cubic
# - Formation energy from the elements: -0.299 eV/atom
# - Total magnetic moment: 0.00 Bohr magnetons per cell
# - D(E_F): 1.7834 states/eV/atom


Record 3
# Tl2PtW, optimized geometry, DFT PBE
data_Tl2PtW
_symmetry_space_group_name_H-M 'I -4 2 d'
_symmetry_Int_Tables_number 122
_symmetry_space_group_name_Hall 'I -4 2bw'
_cell_length_a 4.1428
_cell_length_b 4.1428
_cell_length_c 19.9622
_cell_angle_alpha 90.00
_cell_angle_beta 90.00
_cell_angle_gamma 90.00
loop_
_atom_site_label
_atom_site_fract_x
_atom_site_fract_y
_atom_site_fract_z
Tl1 0.2455 0.2500 0.1250
Pt1 0.0000 0.0000 0.5000
W1 0.0000 0.0000 0.0000
# - Crystal system: tetragonal
# - Formation energy from the elements: 0.949 eV/atom
# - Total magnetic moment: 0.00 Bohr magnetons per cell
# - D(E_F): 0.9706 states/eV/atom
# - E above lowest polymorph: 609 meV per atom


Record 4
# TaPdRuAu, optimized geometry, DFT PBE
data_TaPdRuAu
_symmetry_space_group_name_H-M 'F -4 3 m'
_symmetry_Int_Tables_number 216
_symmetry_space_group_name_Hall 'F -4 2 3'
_cell_length_a 6.3707
_cell_length_b 6.3707
_cell_length_c 6.3707
_cell_angle_alpha 90.00
_cell_angle_beta 90.00
_cell_angle_gamma 90.00
loop_
_atom_site_label
_atom_site_fract_x
_atom_site_fract_y
_atom_site_fract_z
Ta1 0.0000 0.0000 0.0000
Pd1 0.2500 0.2500 0.7500
Ru1 0.2500 0.2500 0.2500
Au1 0.0000 0.0000 0.5000
# - Crystal system: cubic
# - Formation energy from the elements: -0.116 eV/atom
# - Total magnetic moment: 0.00 Bohr magnetons per cell
# - D(E_F): 0.2335 states/eV/atom


Record 5
# CaAg2SnAu4, optimized geometry, DFT PBE
data_CaAg2SnAu4
_symmetry_space_group_name_H-M 'R -3 m'
_symmetry_Int_Tables_number 166
_symmetry_space_group_name_Hall '-R 3 2"'
_cell_length_a 4.8609
_cell_length_b 4.8609
_cell_length_c 23.6577
_cell_angle_alpha 90.00
_cell_angle_beta 90.00
_cell_angle_gamma 120.00
loop_
_atom_site_label
_atom_site_fract_x
_atom_site_fract_y
_atom_site_fract_z
Ca1 0.0000 0.0000 0.0000
Ag1 0.0000 0.0000 0.2553
Sn1 0.0000 0.0000 0.5000
Au1 0.0000 0.0000 0.1285
Au2 0.0000 0.0000 0.3795
# - Crystal system: trigonal
# - Formation energy from the elements: -0.271 eV/atom
# - Total magnetic moment: 0.00 Bohr magnetons per cell
# - D(E_F): 0.2859 states/eV/atom


Record 6
# CrHgAs2, optimized geometry, DFT PBE
data_CrHgAs2
_symmetry_space_group_name_H-M 'R 3 m'
_symmetry_Int_Tables_number 160
_symmetry_space_group_name_Hall 'R 3 -2"'
_cell_length_a 3.4992
_cell_length_b 3.4992
_cell_length_c 22.5352
_cell_angle_alpha 90.00
_cell_angle_beta 90.00
_cell_angle_gamma 120.00
loop_
_atom_site_label
_atom_site_fract_x
_atom_site_fract_y
_atom_site_fract_z
Cr1 0.0000 0.0000 0.0000
Hg1 0.0000 0.0000 0.2438
As1 0.0000 0.0000 0.4806
As2 0.0000 0.0000 0.7345
# - Crystal system: trigonal
# - Formation energy from the elements: 0.337 eV/atom
# - Total magnetic moment: 9.96 Bohr magnetons per cell
# - D(E_F): 0.5904 states/eV/atom


Record 7
# Hf5TcGe5, optimized geometry, DFT PBE
data_Hf5TcGe5
_symmetry_space_group_name_H-M 'C 1 2/m 1'
_symmetry_Int_Tables_number 12
_cell_length_a 11.5901
_cell_length_b 5.3292
_cell_length_c 7.6979
_cell_angle_alpha 90.00
_cell_angle_beta 110.79
_cell_angle_gamma 90.00
loop_
_symmetry_equiv_pos_as_xyz
'x,y,z'
'-x,-y,-z'
'-x,y,-z'
'x,-y,z'
'x+1/2,y+1/2,z'
'-x+1/2,-y+1/2,-z'
'-x+1/2,y+1/2,-z'
'x+1/2,-y+1/2,z'
loop_
_atom_site_label
_atom_site_fract_x
_atom_site_fract_y
_atom_site_fract_z
Hf1 0.0000 0.0000 0.0000
Hf2 0.1525 0.5000 0.3107
Hf3 0.1763 0.5000 0.8352
Tc1 0.0000 0.0000 0.5000
Ge1 0.0000 0.5000 0.5000
Ge2 0.1613 0.0000 0.8221
Ge3 0.1674 0.0000 0.3506
# - Crystal system: monoclinic
# - Formation energy from the elements: -0.180 eV/atom
# - Total magnetic moment: 0.77 Bohr magnetons per cell
# - D(E_F): 0.7486 states/eV/atom


Record 8
# DyLuC, optimized geometry, DFT PBE
data_DyLuC
_symmetry_space_group_name_H-M 'P 3 m 1'
_symmetry_Int_Tables_number 156
_cell_length_a 3.5307
_cell_length_b 3.5307
_cell_length_c 6.1317
_cell_angle_alpha 90.00
_cell_angle_beta 90.00
_cell_angle_gamma 120.00
loop_
_symmetry_equiv_pos_as_xyz
'x,y,z'
'-y,x-y,z'
'-x+y,-x,z'
'-y,-x,z'
'-x+y,y,z'
'x,x-y,z'
loop_
_atom_site_label
_atom_site_fract_x
_atom_site_fract_y
_atom_site_fract_z
Dy1 0.0000 0.0000 0.0000
Lu1 0.3333 0.6667 0.4348
C1 0.6667 0.3333 0.2239
# - Crystal system: trigonal
# - Formation energy from the elements: -0.297 eV/atom
# - Total magnetic moment: 0.00 Bohr magnetons per cell
# - D(E_F): 0.6657 states/eV/atom


Record 9
# Hg2PbI, optimized geometry, DFT PBE
data_Hg2PbI
_symmetry_space_group_name_H-M 'R 3 m'
_symmetry_Int_Tables_number 160
_symmetry_space_group_name_Hall 'R 3 -2"'
_cell_length_a 4.2960
_cell_length_b 4.2960
_cell_length_c 25.0582
_cell_angle_alpha 90.00
_cell_angle_beta 90.00
_cell_angle_gamma 120.00
loop_
_atom_site_label
_atom_site_fract_x
_atom_site_fract_y
_atom_site_fract_z
Hg1 0.0000 0.0000 0.0000
Hg2 0.0000 0.0000 0.1770
Pb1 0.0000 0.0000 0.5889
I1 0.0000 0.0000 0.4203
# - Crystal system: trigonal
# - Formation energy from raw total energies: -50 meV/atom
# - Total magnetic moment: 0.00 Bohr magnetons per cell
# - D(E_F): 0.2988 states/eV/atom
# - E above lowest polymorph: 11 meV per atom


Record 10
# CaInTc2O8, optimized geometry, DFT PBE
data_CaInTc2O8
_symmetry_space_group_name_H-M 'I -4'
_symmetry_Int_Tables_number 82
_cell_length_a 5.1920
_cell_length_b 5.1920
_cell_length_c 11.3659
_cell_angle_alpha 90.00
_cell_angle_beta 90.00
_cell_angle_gamma 90.00
loop_
_symmetry_equiv_pos_as_xyz
'x,y,z'
'y,-x,-z'
'-x,-y,z'
'-y,x,-z'
'x+1/2,y+1/2,z+1/2'
'y+1/2,-x+1/2,-z+1/2'
'-x+1/2,-y+1/2,z+1/2'
'-y+1/2,x+1/2,-z+1/2'
loop_
_atom_site_label
_atom_site_fract_x
_atom_site_fract_y
_atom_site_fract_z
Ca1 0.0000 0.0000 0.0000
In1 0.0000 0.5000 0.7500
Tc1 0.0000 0.0000 0.5000
Tc2 0.0000 0.5000 0.2500
O1 0.1577 0.2522 0.5862
O2 0.1696 0.7482 0.1689
# - Crystal system: tetragonal
# - Formation energy from raw total energies: -1640 meV/atom
# - Total magnetic moment: 1.36 Bohr magnetons per cell
# - D(E_F): 0.4155 states/eV/atom


Record 11
# K3Tl3PdBr8, optimized geometry, DFT PBE
data_K3Tl3PdBr8
_symmetry_space_group_name_H-M 'R -3 m'
_symmetry_Int_Tables_number 166
_symmetry_space_group_name_Hall '-R 3 2"'
_cell_length_a 9.3188
_cell_length_b 9.3188
_cell_length_c 23.1329
_cell_angle_alpha 90.00
_cell_angle_beta 90.00
_cell_angle_gamma 120.00
loop_
_atom_site_label
_atom_site_fract_x
_atom_site_fract_y
_atom_site_fract_z
K1 0.0000 0.5000 0.0000
Tl1 0.0000 0.5000 0.5000
Pd1 0.0000 0.0000 0.0000
Br1 0.0000 0.0000 0.2524
Br2 0.0568 0.5284 0.7349
# - Crystal system: trigonal
# - Formation energy from raw total energies: -1059 meV/atom
# - Total magnetic moment: 6.00 Bohr magnetons per cell


Record 12
# NaNdZnCu, optimized geometry, DFT PBE
data_NaNdZnCu
_symmetry_space_group_name_H-M 'F -4 3 m'
_symmetry_Int_Tables_number 216
_symmetry_space_group_name_Hall 'F -4 2 3'
_cell_length_a 7.0677
_cell_length_b 7.0677
_cell_length_c 7.0677
_cell_angle_alpha 90.00
_cell_angle_beta 90.00
_cell_angle_gamma 90.00
loop_
_atom_site_label
_atom_site_fract_x
_atom_site_fract_y
_atom_site_fract_z
Na1 0.0000 0.0000 0.0000
Nd1 0.0000 0.0000 0.5000
Zn1 0.2500 0.2500 0.7500
Cu1 0.2500 0.2500 0.2500
# - Crystal system: cubic
# - Formation energy from the elements: -0.005 eV/atom
# - Total magnetic moment: 0.00 Bohr magnetons per cell
# - D(E_F): 0.7178 states/eV/atom


Record 13
# Sc4GaIr2, optimized geometry, DFT PBE
data_Sc4GaIr2
_symmetry_space_group_name_H-M 'R -3 m'
_symmetry_Int_Tables_number 166
_symmetry_space_group_name_Hall '-R 3 2"'
_cell_length_a 4.6072
_cell_length_b 4.6072
_cell_length_c 22.1298
_cell_angle_alpha 90.00
_cell_angle_beta 90.00
_cell_angle_gamma 120.00
loop_
_atom_site_label
_atom_site_fract_x
_atom_site_fract_y
_atom_site_fract_z
Sc1 0.0000 0.0000 0.1175
Sc2 0.0000 0.0000 0.3698
Ga1 0.0000 0.0000 0.5000
Ir1 0.0000 0.0000 0.2467
# - Crystal system: trigonal
# - Formation energy from the elements: -0.795 eV/atom
# - Total magnetic moment: 0.00 Bohr magnetons per cell
# - D(E_F): 0.6291 states/eV/atom


Record 14
# Ho2Er8Th3, optimized geometry, DFT PBE
data_Ho2Er8Th3
_symmetry_space_group_name_H-M 'P -1'
_symmetry_Int_Tables_number 2
_cell_length_a 6.1313
_cell_length_b 6.1313
_cell_length_c 11.1035
_cell_angle_alpha 100.50
_cell_angle_beta 90.04
_cell_angle_gamma 99.69
loop_
_symmetry_equiv_pos_as_xyz
'x,y,z'
'-x,-y,-z'
loop_
_atom_site_label
_atom_site_fract_x
_atom_site_fract_y
_atom_site_fract_z
Ho1 0.2309 0.3840 0.0371
Er1 0.0775 0.4621 0.3480
Er2 0.1562 0.9242 0.1933
Er3 0.3068 0.8471 0.8848
Er4 0.3869 0.3064 0.7291
Th1 0.0000 0.0000 0.5000
Th2 0.4612 0.7677 0.5751
# - Crystal system: triclinic
# - Formation energy from the elements: 0.028 eV/atom
# - Total magnetic moment: 0.00 Bohr magnetons per cell
# - D(E_F): 1.4413 states/eV/atom
# - E above lowest polymorph: 0 meV per atom


Record 15
# KTaMn2, optimized geometry, DFT PBE
data_KTaMn2
_symmetry_space_group_name_H-M 'F -4 3 m'
_symmetry_Int_Tables_number 216
_symmetry_space_group_name_Hall 'F -4 2 3'
_cell_length_a 6.7585
_cell_length_b 6.7585
_cell_length_c 6.7585
_cell_angle_alpha 90.00
_cell_angle_beta 90.00
_cell_angle_gamma 90.00
loop_
_atom_site_label
_atom_site_fract_x
_atom_site_fract_y
_atom_site_fract_z
K1 0.0000 0.0000 0.0000
Ta1 0.2500 0.2500 0.2500
Mn1 0.0000 0.0000 0.5000
Mn2 0.2500 0.2500 0.7500
# - Crystal system: cubic
# - Formation energy from the elements: 1.434 eV/atom
# - Total magnetic moment: 22.69 Bohr magnetons per cell
# - D(E_F): 1.0023 states/eV/atom
# - E above lowest polymorph: 891 meV per atom


Record 16
# LaY4Tm3, optimized geometry, DFT PBE
data_LaY4Tm3
_symmetry_space_group_name_H-M 'P m n 21'
_symmetry_Int_Tables_number 31
_cell_length_a 11.3215
_cell_length_b 7.2881
_cell_length_c 6.2806
_cell_angle_alpha 90.00
_cell_angle_beta 90.00
_cell_angle_gamma 90.00
loop_
_symmetry_equiv_pos_as_xyz
'x,y,z'
'-x+1/2,-y,z+1/2'
'-x,y,z'
'x+1/2,-y,z+1/2'
loop_
_atom_site_label
_atom_site_fract_x
_atom_site_fract_y
_atom_site_fract_z
La1 0.0000 0.1234 0.0000
Y1 0.0000 0.3752 0.4998
Y2 0.0000 0.6271 0.9980
Y3 0.2472 0.6260 0.3372
Tm1 0.0000 0.8741 0.5021
Tm2 0.2493 0.1241 0.3335
# - Crystal system: orthorhombic
# - Formation energy from the elements: 0.010 eV/atom
# - Total magnetic moment: 0.01 Bohr magnetons per cell
# - D(E_F): 1.6360 states/eV/atom
# - E above lowest polymorph: 0 meV per atom


Record 17
# TlSb2S6, optimized geometry, DFT PBE
data_TlSb2S6
_symmetry_space_group_name_H-M 'P n n m'
_symmetry_Int_Tables_number 58
_cell_length_a 5.8754
_cell_length_b 6.6106
_cell_length_c 11.1779
_cell_angle_alpha 90.00
_cell_angle_beta 90.00
_cell_angle_gamma 90.00
loop_
_symmetry_equiv_pos_as_xyz
'x,y,z'
'-x,-y,-z'
'-x,-y,z'
'x,y,-z'
'x+1/2,-y+1/2,-z+1/2'
'-x+1/2,y+1/2,z+1/2'
'-x+1/2,y+1/2,-z+1/2'
'x+1/2,-y+1/2,z+1/2'
loop_
_atom_site_label
_atom_site_fract_x
_atom_site_fract_y
_atom_site_fract_z
Tl1 0.0000 0.0000 0.0000
Sb1 0.0000 0.5000 0.1715
S1 0.2159 0.3050 0.3402
S2 0.2442 0.3407 0.0000
# - Crystal system: orthorhombic
# - Formation energy from raw total energies: 52 meV/atom
# - Total magnetic moment: 0.00 Bohr magnetons per cell
# - D(E_F): 0.4886 states/eV/atom